{
  "formula": "Fe2SiOs",
  "functional": "PBE-GGA",
  "state": "relaxed",
  "space_group": "Cm, No. 8",
  "dos_at_fermi_per_ev_cell": 3.8,
  "formation_energy_uncorrected_ev_per_atom": -0.056,
  "lattice": [[-2.3932, 3.6186, -0.8367], [-2.6303, 1.9923, -2.9384], [-3.8915, -1.2798, 1.4292]],
  "species": ["Fe", "Fe", "Os", "Si"],
  "frac_coords": [[0.0007, 0.0007, 0.9871], [0.2495, 0.2495, 0.2574], [0.5018, 0.5018, 0.4800], [0.7480, 0.7480, 0.7754]]
}

---

{
  "formula": "Fe2SiOs",
  "functional": "PBE-GGA",
  "state": "relaxed",
  "space_group": "R3m, No. 160",
  "dos_at_fermi_per_ev_cell": 3.0,
  "formation_energy_uncorrected_ev_per_atom": 0.038,
  "lattice": [[8.0470, -0.0159, -0.0094], [7.6005, 2.6433, -0.0094], [7.6005, 1.2762, 2.3148]],
  "species": ["Fe", "Fe", "Os", "Si"],
  "frac_coords": [[0.9971, 0.9971, 0.9971], [0.7460, 0.7460, 0.7460], [0.5021, 0.5021, 0.5021], [0.2548, 0.2548, 0.2548]]
}

---

{
  "formula": "Fe2SiOs",
  "functional": "PBE-GGA",
  "state": "relaxed",
  "space_group": "P4/mmm, No. 123",
  "dos_at_fermi_per_ev_cell": 3.8,
  "formation_energy_uncorrected_ev_per_atom": 0.034,
  "lattice": [[-4.0285, 0.4579, -0.3412], [-0.4876, -4.0237, 0.3567], [-0.2155, 0.2856, 2.9273]],
  "species": ["Fe", "Fe", "Os", "Si"],
  "frac_coords": [[0.0000, 0.0000, 0.0000], [0.5000, 0.5000, 0.0000], [0.5000, 0.0000, 0.5000], [0.0000, 0.5000, 0.5000]]
}

---

{
  "formula": "FeSiOs",
  "functional": "PBE-GGA",
  "state": "relaxed",
  "space_group": "P3m1, No. 156",
  "dos_at_fermi_per_ev_cell": 3.8,
  "formation_energy_uncorrected_ev_per_atom": -0.068,
  "lattice": [[-0.5948, -1.8895, 3.4413], [-1.3294, -1.5834, -3.3900], [2.3517, -1.3076, -0.3115]],
  "species": ["Fe", "Os", "Si"],
  "frac_coords": [[0.0000, 0.0000, 0.8352], [0.6667, 0.3333, 0.3345], [0.3333, 0.6667, 0.8303]]
}

---

{
  "formula": "FeSiOs",
  "functional": "PBE-GGA",
  "state": "relaxed",
  "space_group": "F-43m, No. 216",
  "dos_at_fermi_per_ev_cell": 2.7,
  "formation_energy_uncorrected_ev_per_atom": 0.021,
  "lattice": [[3.8919, 0.0000, 0.0000], [1.9459, 3.3705, 0.0000], [1.9459, 1.1235, 3.1777]],
  "species": ["Fe", "Os", "Si"],
  "frac_coords": [[0.7500, 0.7500, 0.7500], [0.0000, 0.0000, 0.0000], [0.5000, 0.5000, 0.5000]]
}

---

{
  "formula": "Fe2SiOs",
  "functional": "PBE-GGA",
  "state": "relaxed",
  "space_group": "Cmmm, No. 65",
  "dos_at_fermi_per_ev_cell": 4.3,
  "formation_energy_uncorrected_ev_per_atom": -0.045,
  "lattice": [[5.6113, 0.0252, 0.0747], [-2.1994, 3.8936, -0.1098], [1.2125, 0.7522, 2.2332]],
  "species": ["Fe", "Fe", "Os", "Si"],
  "frac_coords": [[0.0000, 0.0000, 0.0000], [0.5000, 0.0000, 0.5000], [0.0000, 0.5000, 0.5000], [0.5000, 0.5000, 0.0000]]
}